[1]
Crystalline Lu3CdC at its relaxed geometry. Source: Alexandria, functional PBE.

- crystal system = cubic
- space-group type = Pm-3m (221)
- E (eV/atom) = -5.1155

```
data_Lu3CdC
_chemical_formula_sum 'Lu3 Cd1 C1'
_space_group_name_H-M_alt 'P 1'
_space_group_IT_number 1
_cell_length_a 4.800
_cell_length_b 4.800
_cell_length_c 4.800
_cell_angle_alpha 90.00
_cell_angle_beta 90.00
_cell_angle_gamma 90.00
loop_
_space_group_symop_operation_xyz
'x,y,z'
loop_
_atom_site_label
_atom_site_type_symbol
_atom_site_fract_x
_atom_site_fract_y
_atom_site_fract_z
_atom_site_occupancy
Lu1 Lu 0.000 0.500 0.000 1
Lu2 Lu 0.000 0.000 0.500 1
Lu3 Lu 0.500 0.000 0.000 1
Cd1 Cd 0.500 0.500 0.500 1
C1 C 0.000 0.000 0.000 1
```


[2]
Crystalline Mg2CdC at its relaxed geometry. Source: Alexandria, functional PBE.

- crystal system = tetragonal
- space-group type = I-42d (122)
- excess energy over the best structure of this formula in the dataset (kJ per mole of atoms) = 0.0

```
data_Mg2CdC
_chemical_formula_sum 'Mg4 Cd2 C2'
_space_group_name_H-M_alt 'P 1'
_space_group_IT_number 1
_cell_length_a 6.691
_cell_length_b 6.691
_cell_length_c 6.681
_cell_angle_alpha 59.95
_cell_angle_beta 59.95
_cell_angle_gamma 90.00
loop_
_space_group_symop_operation_xyz
'x,y,z'
loop_
_atom_site_label
_atom_site_type_symbol
_atom_site_fract_x
_atom_site_fract_y
_atom_site_fract_z
_atom_site_occupancy
Mg1 Mg 0.375 0.619 0.750 1
Mg2 Mg 0.875 0.631 0.750 1
Mg3 Mg 0.381 0.125 0.250 1
Mg4 Mg 0.369 0.625 0.250 1
C1 C 0.500 0.500 0.000 1
C2 C 0.250 0.750 0.500 1
Cd1 Cd 0.750 0.250 0.500 1
Cd2 Cd 0.000 0.000 0.000 1
```


[3]
Crystalline MgCdC2 at its relaxed geometry. Source: Alexandria, functional PBE.

- crystal system = tetragonal
- space-group type = I-42d (122)
- excess energy over the best structure of this formula in the dataset (kJ per mole of atoms) = 0.0

```
data_MgCdC2
_chemical_formula_sum 'Mg2 Cd2 C4'
_space_group_name_H-M_alt 'P 1'
_space_group_IT_number 1
_cell_length_a 3.996
_cell_length_b 3.996
_cell_length_c 7.644
_cell_angle_alpha 74.85
_cell_angle_beta 74.85
_cell_angle_gamma 90.00
loop_
_space_group_symop_operation_xyz
'x,y,z'
loop_
_atom_site_label
_atom_site_type_symbol
_atom_site_fract_x
_atom_site_fract_y
_atom_site_fract_z
_atom_site_occupancy
Cd1 Cd 0.750 0.250 0.500 1
Cd2 Cd 0.000 0.000 0.000 1
C1 C 0.530 0.125 0.250 1
C2 C 0.220 0.625 0.250 1
C3 C 0.875 0.780 0.750 1
C4 C 0.375 0.470 0.750 1
Mg1 Mg 0.500 0.500 0.000 1
Mg2 Mg 0.250 0.750 0.500 1
```


[4]
Crystalline MgCdC at its relaxed geometry. Source: Alexandria, functional PBE.

- crystal system = monoclinic
- space-group type = Pm (6)
- E (eV/atom) = -3.1750

```
data_MgCdC
_chemical_formula_sum 'Mg2 Cd2 C2'
_space_group_name_H-M_alt 'P 1'
_space_group_IT_number 1
_cell_length_a 2.918
_cell_length_b 3.524
_cell_length_c 9.205
_cell_angle_alpha 90.00
_cell_angle_beta 99.09
_cell_angle_gamma 90.00
loop_
_space_group_symop_operation_xyz
'x,y,z'
loop_
_atom_site_label
_atom_site_type_symbol
_atom_site_fract_x
_atom_site_fract_y
_atom_site_fract_z
_atom_site_occupancy
C1 C 0.008 0.988 0.474 1
C2 C 0.355 0.488 0.167 1
Cd1 Cd 0.746 0.488 0.954 1
Cd2 Cd 0.128 0.988 0.722 1
Mg1 Mg 0.884 0.988 0.224 1
Mg2 Mg 0.495 0.488 0.447 1
```


Number 1: M_tot 0.62 μB/f.u.. Number 2: M_tot 0.00 μB/f.u.. Number 3: M_tot 0.00 μB/f.u.. Number 4: M_tot 0.00 μB/f.u..